[1]
Material: BaPrCdTe3
Method: DFT, PBE-GGA
State: relaxed

Computed properties:
E ... -3.98 eV per atom
Symmetry ... Cmcm
Theoretical density ... 6063 kg/m³

POSCAR file:
```
BaPrCdTe3
1.0
2.279 -7.964 0.000
2.279 7.964 0.000
0.000 0.000 11.669
Ba Pr Cd Te
2 2 2 6
Direct
0.236 0.764 0.750
0.764 0.236 0.250
0.000 0.000 0.000
0.000 0.000 0.500
0.474 0.526 0.250
0.526 0.474 0.750
0.092 0.908 0.250
0.360 0.640 0.057
0.360 0.640 0.443
0.640 0.360 0.557
0.640 0.360 0.943
0.908 0.092 0.750
```



[2]
Material: Lu2Ga2Pd3Pt
Method: DFT, PBE-GGA
State: relaxed

Computed properties:
E ... -5.55 eV per atom
Symmetry ... P3m1
Theoretical density ... 11325 kg/m³

POSCAR file:
```
Lu2Ga2Pd3Pt
1.0
4.363 0.000 0.000
-2.181 3.778 0.000
0.000 0.000 8.929
Lu Ga Pd Pt
2 2 3 1
Direct
0.000 0.000 0.000
0.333 0.667 0.505
0.667 0.333 0.255
0.667 0.333 0.758
0.000 0.000 0.337
0.000 0.000 0.665
0.333 0.667 0.171
0.333 0.667 0.838
```



[3]
Material: NaHfFeBi
Method: DFT, PBE-GGA
State: relaxed

Computed properties:
Symmetry ... F-43m
Energy relative to the lowest polymorph listed for this composition ... 46.9 meV per atom
Theoretical density ... 9274 kg/m³

POSCAR file:
```
NaHfFeBi
1.0
0.000 3.469 3.469
3.469 0.000 3.469
3.469 3.469 0.000
Na Hf Fe Bi
1 1 1 1
Direct
0.000 0.000 0.000
0.500 0.500 0.500
0.250 0.250 0.250
0.750 0.750 0.750
```



[4]
Material: ReNi
Method: DFT, PBE-GGA
State: relaxed

Computed properties:
E ... -8.50 eV per atom
Symmetry ... P6_3/mmc
Theoretical density ... 14394 kg/m³

POSCAR file:
```
ReNi
1.0
5.041 0.000 0.000
-2.520 4.366 0.000
0.000 0.000 15.407
Re Ni
12 12
Direct
0.000 0.500 0.000
0.000 0.500 0.500
0.157 0.314 0.250
0.157 0.843 0.250
0.314 0.157 0.750
0.500 0.000 0.000
0.500 0.000 0.500
0.500 0.500 0.000
0.500 0.500 0.500
0.686 0.843 0.250
0.843 0.157 0.750
0.843 0.686 0.750
0.000 0.000 0.083
0.000 0.000 0.417
0.000 0.000 0.583
0.000 0.000 0.917
0.333 0.667 0.129
0.333 0.667 0.371
0.333 0.667 0.658
0.333 0.667 0.842
0.667 0.333 0.158
0.667 0.333 0.342
0.667 0.333 0.629
0.667 0.333 0.871
```